(1)
# CsSrLaBr6

CsSrLaBr6 after structural relaxation (PBE, the Alexandria database).

Calculated values
The space-group type is P-31c (163). The value obtained for the uncorrected formation energy is -2.02 eV per atom. Its theoretical density is 3.29 g cm⁻³.

Cell lengths 7.9532, 7.9532, 15.4470 Å; angles 90.00, 90.00, 120.00 degrees
Positions (direct):
Cs: 0.0000 0.0000 0.0000
Cs: 0.0000 0.0000 0.5000
Sr: 0.3333 0.6667 0.2500
Sr: 0.6667 0.3333 0.7500
La: 0.6667 0.3333 0.2500
La: 0.3333 0.6667 0.7500
Br: 0.6280 0.6173 0.1401
Br: 0.9894 0.3720 0.1401
Br: 0.3720 0.9894 0.6401
Br: 0.0106 0.6280 0.8599
Br: 0.3827 0.3720 0.3599
Br: 0.9894 0.6173 0.3599
Br: 0.6173 0.9894 0.8599
Br: 0.6280 0.0106 0.3599
Br: 0.0106 0.3827 0.6401
Br: 0.3827 0.0106 0.1401
Br: 0.6173 0.6280 0.6401
Br: 0.3720 0.3827 0.8599

***

(2)
# Cs2LaTaBr6

Cs2LaTaBr6 after structural relaxation (PBE, the Alexandria database).

Calculated values
The space-group type is Fm-3m (225). The value obtained for the uncorrected formation energy is -1.23 eV per atom. Its theoretical density is 5.00 g cm⁻³.

Cell lengths 7.9395, 7.9395, 7.9405 Å; angles 60.00, 60.00, 90.00 degrees
Site moments in Bohr magnetons follow the coordinates.
Positions (direct):
Cs: 0.7500 0.2500 0.5000  0.00
Cs: 0.2500 0.7500 0.5000  0.00
La: 0.5000 0.5000 0.0000  -0.08
Br: 0.2374 0.2374 0.5252  0.01
Br: 0.7626 0.7626 0.4748  0.01
Br: 0.2374 0.2374 0.0000  0.01
Br: 0.7626 0.7626 0.0000  0.01
Br: 0.7626 0.2374 0.0000  0.01
Br: 0.2374 0.7626 0.0000  0.01
Ta: 0.0000 0.0000 0.0000  1.42

***

(3)
# Cs2LaTe2Br2

Cs2LaTe2Br2 after structural relaxation (PBE, the Alexandria database).

Calculated values
The space-group type is I4/mmm (139). The value obtained for the uncorrected formation energy is -1.43 eV per atom. Its theoretical density is 3.80 g cm⁻³.

Cell lengths 6.2080, 6.2080, 10.2783 Å; angles 107.58, 107.58, 90.00 degrees
Positions (direct):
Cs: 0.3543 0.3543 0.7085
Cs: 0.6457 0.6457 0.2915
La: 0.0000 0.0000 0.0000
Te: 0.0000 0.5000 0.0000
Te: 0.5000 0.0000 0.0000
Br: 0.1616 0.1616 0.3231
Br: 0.8384 0.8384 0.6769

***

(4)
# CsLaTeBr2

CsLaTeBr2 after structural relaxation (PBE, the Alexandria database).

Calculated values
The space-group type is Cmcm (63). The value obtained for the uncorrected formation energy is -1.75 eV per atom. Its theoretical density is 4.30 g cm⁻³.

Cell lengths 4.6800, 10.2851, 9.2228 Å; angles 90.00, 90.00, 103.15 degrees
Positions (direct):
Cs: 0.7084 0.4168 0.7500
Cs: 0.2916 0.5832 0.2500
La: 0.0000 0.0000 0.0000
La: 0.0000 0.0000 0.5000
Te: 0.5055 0.0109 0.7500
Te: 0.4945 0.9891 0.2500
Br: 0.1455 0.2909 0.0126
Br: 0.8545 0.7091 0.9874
Br: 0.1455 0.2909 0.4874
Br: 0.8545 0.7091 0.5126

***

(5)
# Cs2LaTiBr6

Cs2LaTiBr6 after structural relaxation (PBE, the Alexandria database).

Calculated values
The space-group type is Fm-3m (225). The value obtained for the uncorrected formation energy is -1.56 eV per atom. Its theoretical density is 4.23 g cm⁻³.

Cell lengths 8.0298, 8.0298, 8.0299 Å; angles 60.00, 60.00, 90.00 degrees
Site moments in Bohr magnetons follow the coordinates.
Positions (direct):
Cs: 0.7500 0.2500 0.5000  0.00
Cs: 0.2500 0.7500 0.5000  0.00
Ti: 0.5000 0.5000 0.0000  1.96
Br: 0.2600 0.2600 0.4801  0.00
Br: 0.7400 0.7400 0.5199  0.00
Br: 0.2600 0.2600 0.0000  0.00
Br: 0.7400 0.7400 0.0000  0.00
Br: 0.7400 0.2600 0.0000  0.00
Br: 0.2600 0.7400 0.0000  0.00
La: 0.0000 0.0000 0.0000  0.26

***

(6)
# CsLa2WBr

CsLa2WBr after structural relaxation (PBE, the Alexandria database).

Calculated values
The space-group type is P4/mmm (123). The value obtained for the uncorrected formation energy is 0.41 eV per atom. Its theoretical density is 5.62 g cm⁻³.

Cell lengths 5.4486, 6.7176, 5.4486 Å; angles 90.00, 90.00, 90.00 degrees
Positions (direct):
Cs: 0.5000 0.5000 0.5000
Br: 0.0000 0.5000 0.0000
W: 0.0000 0.0000 0.0000
La: 0.0000 0.0000 0.5000
La: 0.5000 0.0000 0.0000

***

(7)
# CsLaZn2Br8

CsLaZn2Br8 after structural relaxation (PBE, the Alexandria database).

Calculated values
The space-group type is R-3 (148). The value obtained for the uncorrected formation energy is -1.39 eV per atom. Its theoretical density is 3.81 g cm⁻³.

Cell lengths 7.0015, 7.0015, 11.4235 Å; angles 72.15, 72.15, 60.00 degrees
Positions (direct):
Cs: 0.5000 0.5000 0.5000
La: 0.0000 0.0000 0.0000
Zn: 0.2512 0.2512 0.2464
Zn: 0.7488 0.7488 0.7536
Br: 0.1778 0.1778 0.4665
Br: 0.6046 0.2886 0.1641
Br: 0.8222 0.8222 0.5335
Br: 0.9428 0.6046 0.1641
Br: 0.0572 0.3954 0.8359
Br: 0.2886 0.9428 0.1641
Br: 0.7114 0.0572 0.8359
Br: 0.3954 0.7114 0.8359

***

(8)
# CsLi3Br3

CsLi3Br3 after structural relaxation (PBE, the Alexandria database).

Calculated values
The space-group type is Pm-3n (223). The value obtained for the uncorrected formation energy is -1.21 eV per atom. Its theoretical density is 2.92 g cm⁻³.

Cell lengths 7.6462, 7.6462, 7.6462 Å; angles 90.00, 90.00, 90.00 degrees
Positions (direct):
Cs: 0.5000 0.5000 0.5000
Cs: 0.0000 0.0000 0.0000
Br: 0.0000 0.2500 0.5000
Br: 0.0000 0.7500 0.5000
Br: 0.5000 0.0000 0.7500
Br: 0.7500 0.5000 0.0000
Br: 0.5000 0.0000 0.2500
Br: 0.2500 0.5000 0.0000
Li: 0.2500 0.0000 0.5000
Li: 0.0000 0.5000 0.2500
Li: 0.5000 0.7500 0.0000
Li: 0.7500 0.0000 0.5000
Li: 0.0000 0.5000 0.7500
Li: 0.5000 0.2500 0.0000

***

(9)
# Cs3Li2Br5

Cs3Li2Br5 after structural relaxation (PBE, the Alexandria database).

Calculated values
The space-group type is Cm (8). The value obtained for the uncorrected formation energy is -1.68 eV per atom. Its theoretical density is 3.77 g cm⁻³.

Cell lengths 13.4221, 13.4221, 4.4326 Å; angles 80.49, 80.49, 146.76 degrees
Positions (direct):
Cs: 0.6410 0.3956 0.7271
Cs: 0.3956 0.6410 0.7271
Cs: 0.0221 0.0221 0.2224
Li: 0.7783 0.2090 0.7523
Li: 0.2090 0.7783 0.7523
Br: 0.5244 0.5244 0.2194
Br: 0.3564 0.8334 0.1507
Br: 0.8334 0.3564 0.1507
Br: 0.9116 0.1480 0.7155
Br: 0.1480 0.9116 0.7155

***

(10)
# Cs2LiBr

Cs2LiBr after structural relaxation (PBE, the Alexandria database).

Calculated values
The space-group type is I-42d (122). The value obtained for the uncorrected formation energy is -0.65 eV per atom. Its theoretical density is 2.05 g cm⁻³. The excess energy over the best structure of this formula in the dataset comes out at 74 meV per atom.

Cell lengths 10.1684, 10.1684, 9.0634 Å; angles 55.88, 55.88, 90.00 degrees
Positions (direct):
Cs: 0.6810 0.1250 0.2500
Cs: 0.0690 0.6250 0.2500
Cs: 0.3750 0.3190 0.7500
Cs: 0.8750 0.9310 0.7500
Br: 0.0000 0.0000 0.0000
Br: 0.7500 0.2500 0.5000
Li: 0.5000 0.5000 0.0000
Li: 0.2500 0.7500 0.5000

***

(11)
# CsLi2Br3

CsLi2Br3 after structural relaxation (PBE, the Alexandria database).

Calculated values
The space-group type is Immm (71). The value obtained for the uncorrected formation energy is -1.61 eV per atom. Its theoretical density is 3.55 g cm⁻³.

Cell lengths 7.6855, 7.6855, 7.6855 Å; angles 144.42, 136.41, 57.48 degrees
Positions (direct):
Br: 0.2207 0.2207 0.0000
Br: 0.7793 0.7793 0.0000
Br: 0.5000 0.0000 0.5000
Cs: 0.0000 0.5000 0.5000
Li: 0.3085 0.8085 0.5000
Li: 0.6915 0.1915 0.5000

***

(12)
# Cs2LiBr4

Cs2LiBr4 after structural relaxation (PBE, the Alexandria database).

Calculated values
The space-group type is I4/mmm (139). The value obtained for the uncorrected formation energy is -1.36 eV per atom. Its theoretical density is 3.70 g cm⁻³.

Cell lengths 5.3451, 5.3451, 10.0353 Å; angles 74.56, 74.56, 90.00 degrees
Site moments in Bohr magnetons follow the coordinates.
Positions (direct):
Cs: 0.6434 0.6434 0.7132  0.01
Cs: 0.3566 0.3566 0.2868  0.01
Br: 0.8427 0.8427 0.3146  0.16
Br: 0.1573 0.1573 0.6854  0.16
Br: 0.0000 0.5000 0.0000  0.24
Br: 0.5000 0.0000 0.0000  0.24
Li: 0.0000 0.0000 0.0000  0.00